# 1
A relaxed Ag2RhPbN crystal. Source: Alexandria via LeMat-Bulk, functional PBE.

Cell and atoms, written as CIF:
```
data_Ag2RhPbN
_chemical_formula_sum 'Ag2 Rh1 Pb1 N1'
_cell_length_a 4.8397
_cell_length_b 4.8397
_cell_length_c 3.8512
_cell_angle_alpha 90.00
_cell_angle_beta 90.00
_cell_angle_gamma 90.00
_symmetry_space_group_name_H-M 'P 4/m m m'
_symmetry_Int_Tables_number 123
_symmetry_space_group_name_Hall '-P 4 2'
loop_
_atom_site_label
_atom_site_type_symbol
_atom_site_fract_x
_atom_site_fract_y
_atom_site_fract_z
Ag1 Ag 0.0000 0.5000 0.0000
Rh1 Rh 0.0000 0.0000 0.5000
Pb1 Pb 0.5000 0.5000 0.5000
N1 N 0.0000 0.0000 0.0000
```


# 2
A relaxed Ag2RuPbN crystal. Source: Alexandria via LeMat-Bulk, functional PBE.

Cell and atoms, written as CIF:
```
data_Ag2RuPbN
_chemical_formula_sum 'Ag2 Ru1 Pb1 N1'
_cell_length_a 4.1769
_cell_length_b 4.1769
_cell_length_c 5.1396
_cell_angle_alpha 90.00
_cell_angle_beta 90.00
_cell_angle_gamma 90.00
_symmetry_space_group_name_H-M 'P 4/m m m'
_symmetry_Int_Tables_number 123
_symmetry_space_group_name_Hall '-P 4 2'
loop_
_atom_site_label
_atom_site_type_symbol
_atom_site_fract_x
_atom_site_fract_y
_atom_site_fract_z
Ag1 Ag 0.0000 0.5000 0.0000
Ru1 Ru 0.0000 0.0000 0.5000
Pb1 Pb 0.5000 0.5000 0.5000
N1 N 0.5000 0.5000 0.0000
```


Q: Which V values were calculated for the entries above? A: 90; 90, in Å³/cell.
Q: Which energy relative to the elements, uncorrected values were calculated for the entries above? A: 419; 993, in meV/atom.
Q: Which density values were calculated for the entries above? A: 9.94; 9.96, in g/cm³.